Arrangement w

Li2InP: optimized geometry, GGA-PBE.

- N(E_F) (states/eV per cell) = 1.4
- mass density (g/cm3) = 3.88
- total magnetic moment (μB per formula unit) = 0.00
- symmetry = Immm (71)

Cell: 5.0848 5.0848 5.0848 Å, 133.46 133.24 68.10°
Last column: nearest neighbours and their distance in Å.
Element x y z (fractional)
In  0.2500  0.7500  0.5000  4 P 2.85, 8 Li 2.91-2.92
Li  0.9990  0.9990  0.0000  4 Li 2.85, 4 P 2.90-2.92, 4 In 2.91-2.92
Li  0.5010  0.5010  0.0000  4 Li 2.85, 4 P 2.90-2.92, 4 In 2.91-2.92
P  0.7500  0.2500  0.5000  4 In 2.85, 8 Li 2.90-2.92

---

Arrangement x

Li2InP: optimized geometry, GGA-PBE.

- N(E_F) (states/eV per cell) = 0.6
- mass density (g/cm3) = 3.61
- total magnetic moment (μB per formula unit) = 0.00
- symmetry = C2/m (12)

Cell: 4.2771 4.2771 6.1716 Å, 81.81 81.81 41.17°
Last column: nearest neighbours and their distance in Å.
Element x y z (fractional)
In  0.2500  0.2500  0.2500  6 Li 2.94-3.07, 2 In 3.01
Li  0.0152  0.0152  0.9277  3 P 2.52-2.53, 2 Li 2.70
Li  0.4848  0.4848  0.5723  3 P 2.52-2.53, 2 Li 2.70
P  0.7500  0.7500  0.7500  6 Li 2.52-2.53

---

Arrangement y

Li2InP: optimized geometry, GGA-PBE.

- N(E_F) (states/eV per cell) = 1.5
- mass density (g/cm3) = 3.95
- total magnetic moment (μB per formula unit) = 0.00
- symmetry = Pmm2 (25)

Cell: 4.0590 4.0678 4.0639 Å, 90.00 90.00 90.00°
Last column: nearest neighbours and their distance in Å.
Element x y z (fractional)
In  0.5000  0.6250  0.8744  4 P 2.87, 8 Li 2.87-2.88
Li  0.0000  0.1249  0.8766  4 Li 2.87-2.88, 4 P 2.87-2.88, 4 In 2.87
Li  0.5000  0.1249  0.3748  4 Li 2.87-2.88, 4 P 2.87, 4 In 2.87-2.88
P  0.0000  0.6251  0.3742  8 Li 2.87-2.88, 4 In 2.87

---

Quick one: least stable of them? arrangement x

---

Arrangement w

Li2InP: optimized geometry, GGA-PBE.

- N(E_F) (states/eV per cell) = 2.2
- mass density (g/cm3) = 3.60
- total magnetic moment (μB per formula unit) = 0.34
- symmetry = R-3m (166)

Cell: 8.9317 8.9317 8.9317 Å, 20.12 20.12 20.12°
Last column: nearest neighbours and their distance in Å.
Element x y z (fractional)
In  0.7500  0.7500  0.7500  6 In 3.12, 6 Li 3.16
Li  0.9846  0.9846  0.9846  3 P 2.53
Li  0.5154  0.5154  0.5154  3 P 2.53
P  0.2500  0.2500  0.2500  6 Li 2.53

---

Arrangement x

Li2InP: optimized geometry, GGA-PBE.

- N(E_F) (states/eV per cell) = 3.7
- mass density (g/cm3) = 3.51
- total magnetic moment (μB per formula unit) = 0.00
- symmetry = I-42d (122)

Cell: 4.1199 4.1199 9.3606 Å, 77.29 77.29 90.00°
Last column: nearest neighbours and their distance in Å.
Element x y z (fractional)
P  0.5000  0.5000  0.0000  4 Li 2.57
P  0.2500  0.7500  0.5000  4 Li 2.57
Li  0.5646  0.1250  0.2500  2 P 2.57, 2 Li 2.59, 2 In 2.76
Li  0.1854  0.6250  0.2500  2 P 2.57, 2 Li 2.59, 2 In 2.76
Li  0.3750  0.4354  0.7500  2 P 2.57, 2 Li 2.59, 2 In 2.76
Li  0.8750  0.8146  0.7500  2 P 2.57, 2 Li 2.59, 2 In 2.76
In  0.0000  0.0000  0.0000  4 Li 2.76, 4 P 2.91
In  0.7500  0.2500  0.5000  4 Li 2.76, 4 P 2.91

---

Arrangement y

Li2InP: optimized geometry, GGA-PBE.

- N(E_F) (states/eV per cell) = 0.0
- mass density (g/cm3) = 3.82
- total magnetic moment (μB per formula unit) = 0.00
- symmetry = Fm-3m (225)

Cell: 4.6128 4.6128 4.6128 Å, 60.00 60.00 60.00°
Last column: nearest neighbours and their distance in Å.
Element x y z (fractional)
P  0.0000  0.0000  0.0000  8 Li 2.82
Li  0.2500  0.2500  0.2500  4 In 2.82, 4 P 2.82
Li  0.7500  0.7500  0.7500  4 In 2.82, 4 P 2.82
In  0.5000  0.5000  0.5000  8 Li 2.82

---

Arrangement z

Li2InP: optimized geometry, GGA-PBE.

- N(E_F) (states/eV per cell) = 1.2
- mass density (g/cm3) = 3.83
- total magnetic moment (μB per formula unit) = 0.00
- symmetry = I-4m2 (119)

Cell: 5.1398 5.1398 5.1398 Å, 133.92 133.92 67.22°
Last column: nearest neighbours and their distance in Å.
Element x y z (fractional)
In  0.7500  0.2500  0.5000  8 Li 2.85-2.94, 4 P 2.94
Li  0.0000  0.0000  0.0000  4 P 2.85, 4 In 2.94, 4 Li 2.94
Li  0.2500  0.7500  0.5000  4 In 2.85, 4 Li 2.94, 4 P 2.94
P  0.5000  0.5000  0.0000  8 Li 2.85-2.94, 4 In 2.94

---

Quick one: least stable of them? arrangement x